[1]
Material: Hf3AlGe5
Method: DFT, SCAN
State: single point on PBEsol structure

```
Hf3AlGe5
1.0
3.7513 0.0000 0.0000
0.0000 3.7710 0.0000
0.0000 -1.8855 21.9720
Hf Al Ge
6 2 10
Cartesian
0.0000 1.8855 13.1775 Hf
0.0000 0.0000 5.8540 Hf
1.8757 1.8855 1.4726 Hf
0.0000 0.0000 20.4579 Hf
1.8757 1.8855 16.1880 Hf
1.8757 0.0000 8.7846 Hf
0.0000 0.0000 10.9668 Al
0.0000 1.8855 3.6648 Al
0.0000 0.0000 1.0139 Ge
1.8757 1.8855 10.9721 Ge
0.0000 0.0000 15.4970 Ge
1.8757 0.0000 13.6264 Ge
1.8757 0.0000 18.3298 Ge
1.8757 1.8855 21.1186 Ge
1.8757 1.8855 6.3659 Ge
0.0000 1.8855 18.3169 Ge
0.0000 1.8855 8.2617 Ge
1.8757 0.0000 3.6793 Ge
```

Computed properties:
Its symmetry is Amm2, No. 38. The calculation puts the energy of formation at -0.544 eV/atom. The value obtained for the density is 9.890 g cm⁻³. The total magnetization comes out at 0.00 μB/cell. As for the crystal system: orthorhombic.



[2]
Material: Sr2NiPb
Method: DFT, SCAN
State: single point on PBEsol structure

```
Sr2NiPb
1.0
-2.8625 -2.4778 1.1912
3.6635 -3.1506 2.2499
-0.4590 2.7222 4.5594
Ni Sr Pb
1 2 1
Cartesian
0.1710 -1.4531 4.0003 Ni
-0.2295 1.3611 2.2797 Sr
1.8317 -1.5753 1.1249 Sr
-1.4312 -1.2389 0.5956 Pb
```

Computed properties:
Its symmetry is P4/mmm, No. 123. The calculation puts the energy of formation at -0.174 eV/atom. The value obtained for the density is 6.497 g cm⁻³. The total magnetization comes out at 0.95 μB/cell. As for the crystal system: tetragonal.



[3]
Material: ZrTlZn2
Method: DFT, SCAN
State: single point on PBEsol structure

```
ZrTlZn2
1.0
3.1714 0.0788 0.0000
-0.0942 3.1710 0.0000
0.0000 0.0000 7.3010
Zr Zn Tl
1 2 1
Cartesian
0.0000 0.0000 3.9079 Zr
0.0000 0.0000 6.9967 Zn
1.5386 1.6249 5.6778 Zn
1.5386 1.6249 1.6701 Tl
```

Computed properties:
Its symmetry is Cmm2, No. 35. The calculation puts the energy of formation at -0.073 eV/atom. The value obtained for the density is 9.637 g cm⁻³. The total magnetization comes out at 0.00 μB/cell. As for the crystal system: orthorhombic. The energy above the most stable polymorph in this dataset is 0.173 eV per atom.